Entry 1:
An optimized crystal structure of CsCoPdW2. Source: Alexandria, functional GGA-PBE.

Calculated values
E_form: 2.2286 eV per atom
E: -5.5831 eV per atom
size of the total moment: 6.0 Bohr magnetons per cell
crystal system: tetragonal

abc: 4.869 4.869 4.961
angles: 90.00 90.00 90.00
Space group P4/mmm (No. 123)
One atom of each set of equivalent atoms:
1 Cs 0.000 0.000 0.000
2 Co 0.500 0.500 0.000
3 Pd 0.500 0.500 0.500
4 W 0.000 0.500 0.500

=====

Entry 2:
An optimized crystal structure of CsPm2Co. Source: Alexandria, functional GGA-PBE.

Calculated values
E_form: 0.1441 eV per atom
E: -4.2210 eV per atom
size of the total moment: 0.0 Bohr magnetons per cell
crystal system: trigonal

abc: 4.0633 4.0633 32.8092
angles: 90.00 90.00 120.00
Space group R-3m (No. 166, hexagonal axes)
One atom of each set of equivalent atoms:
1 Cs 0.0000 0.0000 0.0000
2 Pm 0.0000 0.0000 0.1234
3 Co 0.0000 0.0000 0.5000

=====

Entry 3:
An optimized crystal structure of CsPr2Co. Source: Alexandria, functional GGA-PBE.

Calculated values
E_form: 0.1571 eV per atom
E: -4.2225 eV per atom
size of the total moment: 0.0 Bohr magnetons per cell
crystal system: trigonal

abc: 4.1228 4.1228 33.3051
angles: 90.00 90.00 120.00
Space group R-3m (No. 166, hexagonal axes)
One atom of each set of equivalent atoms:
1 Cs 0.0000 0.0000 0.0000
2 Pr 0.0000 0.0000 0.1233
3 Co 0.0000 0.0000 0.5000